P4WO12, relaxed, DFT PBE with a Hubbard U; energy above the most stable polymorph in this dataset = 35.4 meV per atom; total magnetic moment = 0.0 μB per formula unit
1.0
13.825 0.000 0.000
0.000 5.397 0.113
0.000 1.162 7.401
O P W
24 8 2
direct
0.353 0.277 0.478
0.148 0.188 0.465
0.349 0.028 0.221
0.723 0.654 0.228
0.853 0.723 0.522
0.223 0.346 0.772
0.909 0.353 0.919
0.109 0.968 0.788
0.483 0.962 0.455
0.242 0.643 0.239
0.983 0.038 0.545
0.819 0.197 0.453
0.319 0.803 0.547
0.742 0.357 0.761
0.849 0.972 0.779
0.648 0.812 0.535
0.771 0.070 0.060
0.271 0.930 0.940
0.409 0.647 0.081
0.132 0.169 0.072
0.632 0.831 0.928
0.112 0.716 0.533
0.612 0.284 0.467
0.609 0.032 0.212
0.094 0.976 0.578
0.323 0.785 0.120
0.680 0.876 0.092
0.594 0.024 0.422
0.871 0.980 0.571
0.823 0.215 0.880
0.371 0.020 0.429
0.180 0.124 0.908
0.232 0.497 0.505
0.732 0.503 0.495